An optimized crystal structure of BeCr2NiP, computed with PBE.

Output
- V (Å³ per atom) = 15.14
- total energy (Ry/atom) = -0.4399
- ΔH_f (0 K) (meV/atom) = 847
- theoretical density (g/cm³) = 4.445
- DOS(E_F) (states/eV/f.u.) = 6.4

Lattice parameters (Å, degrees): 4.4310 4.4310 3.8558 90.00 90.00 90.00
Positions (direct):
1 Be 0.0000 0.0000 0.0000
2 Cr 0.0000 0.5000 0.5000
3 Cr 0.5000 0.0000 0.5000
4 Ni 0.0000 0.0000 0.5000
5 P 0.5000 0.5000 0.0000


An optimized crystal structure of Na2Cd8In, computed with PBE.

Output
- V (Å³ per atom) = 25.12
- total energy (Ry/atom) = -0.0856
- ΔH_f (0 K) (meV/atom) = -10
- theoretical density (g/cm³) = 6.372
- DOS(E_F) (states/eV/f.u.) = 4.5

Lattice parameters (Å, degrees): 8.9638 8.9638 5.5408 106.45 106.45 126.78
Positions (direct):
1 Na 0.1834 0.8166 0.0000
2 Na 0.8166 0.1834 0.0000
3 Cd 0.0377 0.0377 0.7882
4 Cd 0.1312 0.4027 0.7326
5 Cd 0.3008 0.6992 0.5000
6 Cd 0.4027 0.1312 0.7326
7 Cd 0.5973 0.8688 0.2674
8 Cd 0.6992 0.3008 0.5000
9 Cd 0.8688 0.5973 0.2674
10 Cd 0.9623 0.9623 0.2118
11 In 0.5000 0.5000 0.5000


An optimized crystal structure of BaTiSb2Au, computed with PBE.

Output
- V (Å³ per atom) = 32.25
- total energy (Ry/atom) = -0.3093
- theoretical density (g/cm³) = 6.444
- ΔE_f (raw) (eV/atom) = 0.06
- DOS(E_F) (states/eV/f.u.) = 5.7

Lattice parameters (Å, degrees): 5.5897 5.5897 5.1603 90.00 90.00 90.00
Positions (direct):
1 Ba 0.0000 0.0000 0.0000
2 Ti 0.5000 0.5000 0.0000
3 Sb 0.0000 0.5000 0.5000
4 Sb 0.5000 0.0000 0.5000
5 Au 0.5000 0.5000 0.5000


An optimized crystal structure of Mn2AlSe, computed with PBE.

Output
- V (Å³ per atom) = 15.19
- total energy (Ry/atom) = -0.4681
- theoretical density (g/cm³) = 5.899
- ΔE_f (raw) (eV/atom) = 0.02
- DOS(E_F) (states/eV/f.u.) = 2.6

Lattice parameters (Å, degrees): 3.3251 3.2312 5.6620 90.00 93.03 90.00
Positions (direct):
1 Mn 0.0077 0.0000 0.2584
2 Mn 0.9923 0.0000 0.7416
3 Al 0.5000 0.5000 0.5000
4 Se 0.5000 0.5000 0.0000


An optimized crystal structure of TbPr2Nd5Th, computed with PBE.

Output
- V (Å³ per atom) = 35.45
- total energy (Ry/atom) = -0.3604
- ΔH_f (0 K) (meV/atom) = 146
- theoretical density (g/cm³) = 7.255
- DOS(E_F) (states/eV/f.u.) = 12.8

Lattice parameters (Å, degrees): 10.7699 10.7699 10.6752 90.00 90.00 148.98
Positions (direct):
1 Tb 0.0947 0.9053 0.5000
2 Tb 0.9053 0.0947 0.0000
3 Pr 0.3844 0.6156 0.3560
4 Pr 0.3847 0.6153 0.7737
5 Pr 0.6153 0.3847 0.2737
6 Pr 0.6156 0.3844 0.8560
7 Nd 0.0177 0.9823 0.7853
8 Nd 0.1145 0.8855 0.0656
9 Nd 0.2060 0.7940 0.7457
10 Nd 0.2246 0.7754 0.3563
11 Nd 0.4849 0.5151 0.0597
12 Nd 0.5151 0.4849 0.5597
13 Nd 0.7754 0.2246 0.8563
14 Nd 0.7940 0.2060 0.2457
15 Nd 0.8855 0.1145 0.5656
16 Nd 0.9823 0.0177 0.2853
17 Th 0.3011 0.6989 0.0532
18 Th 0.6989 0.3011 0.5532


An optimized crystal structure of Mg4Se3S, computed with PBE.

Output
- V (Å³ per atom) = 26.01
- total energy (Ry/atom) = -0.2874
- theoretical density (g/cm³) = 2.923
- ΔE_f (raw) (eV/atom) = -1.29
- DOS(E_F) (states/eV/f.u.) = 0.0

Lattice parameters (Å, degrees): 13.9468 13.9468 13.9468 17.25 17.25 17.25
Positions (direct):
1 Mg 0.0000 0.0000 0.0000
2 Mg 0.2483 0.2483 0.2483
3 Mg 0.4963 0.4963 0.4963
4 Mg 0.7444 0.7444 0.7444
5 Se 0.1851 0.1851 0.1851
6 Se 0.4332 0.4332 0.4332
7 Se 0.9369 0.9369 0.9369
8 S 0.6845 0.6845 0.6845


An optimized crystal structure of La3Tl2Cd2, computed with PBE.

Output
- V (Å³ per atom) = 29.16
- total energy (Ry/atom) = -0.2516
- ΔH_f (0 K) (meV/atom) = -373
- theoretical density (g/cm³) = 8.545
- DOS(E_F) (states/eV/f.u.) = 6.2

Lattice parameters (Å, degrees): 11.9955 11.9955 3.5104 90.00 90.00 156.17
Positions (direct):
1 La 0.0000 0.0000 0.0000
2 La 0.1553 0.8447 0.0000
3 La 0.8447 0.1553 0.0000
4 Tl 0.4214 0.5786 0.5000
5 Tl 0.5786 0.4214 0.5000
6 Cd 0.2824 0.7176 0.5000
7 Cd 0.7176 0.2824 0.5000


An optimized crystal structure of YEr3Co, computed with PBE.

Output
- V (Å³ per atom) = 27.39
- total energy (Ry/atom) = -0.4090
- ΔH_f (0 K) (meV/atom) = -114
- theoretical density (g/cm³) = 7.877
- DOS(E_F) (states/eV/f.u.) = 5.3

Lattice parameters (Å, degrees): 7.0848 7.0848 8.0564 124.61 124.61 70.71
Positions (direct):
1 Y 0.0489 0.0489 0.3402
2 Y 0.9511 0.9511 0.6598
3 Er 0.0493 0.4537 0.2068
4 Er 0.4526 0.4526 0.7473
5 Er 0.4537 0.0493 0.2068
6 Er 0.5463 0.9507 0.7932
7 Er 0.5474 0.5474 0.2527
8 Er 0.9507 0.5463 0.7932
9 Co 0.2517 0.2517 0.8805
10 Co 0.7483 0.7483 0.1195


An optimized crystal structure of GaSbI3, computed with PBE.

Output
- V (Å³ per atom) = 45.62
- total energy (Ry/atom) = -0.1774
- theoretical density (g/cm³) = 4.165
- ΔE_f (raw) (eV/atom) = -0.05
- DOS(E_F) (states/eV/f.u.) = 1.9

Lattice parameters (Å, degrees): 6.1102 6.1102 6.1102 90.00 90.00 90.00
Positions (direct):
1 Ga 0.0000 0.0000 0.0000
2 Sb 0.5000 0.5000 0.5000
3 I 0.0000 0.5000 0.5000
4 I 0.5000 0.0000 0.5000
5 I 0.5000 0.5000 0.0000


An optimized crystal structure of GaFe4P12, computed with PBE.

Output
- V (Å³ per atom) = 13.99
- total energy (Ry/atom) = -0.4636
- ΔH_f (0 K) (meV/atom) = -319
- theoretical density (g/cm³) = 4.643
- DOS(E_F) (states/eV/f.u.) = 11.8

Lattice parameters (Å, degrees): 6.7597 6.7597 6.7597 109.47 109.47 109.47
Positions (direct):
1 Ga 0.0000 0.0000 0.0000
2 Fe 0.0000 0.0000 0.5000
3 Fe 0.0000 0.5000 0.0000
4 Fe 0.5000 0.0000 0.0000
5 Fe 0.5000 0.5000 0.5000
6 P 0.1478 0.5008 0.3530
7 P 0.1478 0.7948 0.6470
8 P 0.2052 0.3530 0.8522
9 P 0.3530 0.1478 0.5008
10 P 0.3530 0.8522 0.2052
11 P 0.4992 0.6470 0.8522
12 P 0.5008 0.3530 0.1478
13 P 0.6470 0.1478 0.7948
14 P 0.6470 0.8522 0.4992
15 P 0.7948 0.6470 0.1478
16 P 0.8522 0.2052 0.3530
17 P 0.8522 0.4992 0.6470


An optimized crystal structure of SrBeRe2, computed with PBE.

Output
- V (Å³ per atom) = 16.25
- total energy (Ry/atom) = -0.5000
- ΔH_f (0 K) (meV/atom) = 774
- theoretical density (g/cm³) = 11.986
- DOS(E_F) (states/eV/f.u.) = 3.6

Lattice parameters (Å, degrees): 2.7566 2.7566 8.7469 90.00 90.00 102.14
Positions (direct):
1 Sr 0.0000 0.0000 0.0000
2 Be 0.0000 0.0000 0.5000
3 Re 0.5000 0.5000 0.3135
4 Re 0.5000 0.5000 0.6865


An optimized crystal structure of CeTh4PaN8, computed with PBE.

Output
- V (Å³ per atom) = 18.44
- total energy (Ry/atom) = -0.6936
- theoretical density (g/cm³) = 9.078
- ΔE_f (raw) (eV/atom) = -1.46
- DOS(E_F) (states/eV/f.u.) = 6.5

Lattice parameters (Å, degrees): 7.1065 7.1065 7.1065 60.77 60.77 60.77
Positions (direct):
1 Ce 0.0000 0.0000 0.0000
2 Th 0.0003 0.0003 0.4982
3 Th 0.0003 0.4982 0.0003
4 Th 0.3764 0.3764 0.3764
5 Th 0.4982 0.0003 0.0003
6 Pa 0.6233 0.6233 0.6233
7 N 0.2360 0.2360 0.7832
8 N 0.2360 0.7832 0.2360
9 N 0.2396 0.7495 0.7495
10 N 0.2405 0.2405 0.2405
11 N 0.7495 0.2396 0.7495
12 N 0.7495 0.7495 0.2396
13 N 0.7539 0.7539 0.7539
14 N 0.7832 0.2360 0.2360